Computed, not measured: a relaxed CaNd2UP4 crystal at the PBE-GGA level of DFT.

Geometry as POSCAR:
```
CaNd2UP4
1.0
5.789 0.000 0.000
0.000 5.789 0.000
0.000 0.000 11.587
Ca Nd U P
2 4 2 8
Cartesian
0.000 0.000 0.000
2.894 2.894 5.793
0.000 0.000 5.793
0.000 2.894 2.897
2.894 0.000 8.690
2.894 2.894 0.000
0.000 2.894 8.690
2.894 0.000 2.897
0.000 0.000 2.910
0.000 0.000 8.677
0.000 2.894 5.972
0.000 2.894 11.408
2.894 0.000 0.179
2.894 0.000 5.615
2.894 2.894 2.883
2.894 2.894 8.704
```

- VASP energy: -6.824 eV/atom
- SG: I-4m2
- Energy of formation: -1.265 eV per atom



Computed, not measured: a relaxed CaNd2ZrP4 crystal at the PBE-GGA level of DFT.

Geometry as POSCAR:
```
CaNd2ZrP4
1.0
6.937 0.000 0.000
0.000 4.034 0.000
-2.312 0.000 6.649
Ca Nd Zr P
1 2 1 4
Cartesian
0.000 0.000 0.000
2.312 0.000 3.324
3.469 2.017 0.000
-1.156 2.017 3.324
-0.098 0.000 4.873
1.043 2.017 1.732
3.582 2.017 4.917
4.723 0.000 1.776
```

- VASP energy: -6.563 eV/atom
- SG: P2/m
- Energy of formation: -1.348 eV per atom



Computed, not measured: a relaxed CaNd2PaSb4 crystal at the PBE-GGA level of DFT.

Geometry as POSCAR:
```
CaNd2PaSb4
1.0
7.739 0.000 0.000
0.000 4.481 0.000
-2.549 0.000 7.323
Ca Nd Pa Sb
1 2 1 4
Cartesian
0.000 0.000 0.000
-1.275 2.241 3.662
2.595 0.000 3.662
3.869 2.241 0.000
1.366 2.241 1.774
0.063 0.000 5.562
5.126 0.000 1.761
3.823 2.241 5.549
```

- VASP energy: -5.641 eV/atom
- SG: P2/m
- Formation energy without anion corrections: -0.9511 eV/atom



Question: The lowest VASP energy belongs to which entry?
Answer: CaNd2UP4



Question: The lowest VASP energy belongs to which entry?
Answer: CaNd2UP4



Question: Which of these has the lowest VASP energy?
Answer: CaNd2UP4